Density functional theory data (GGA-PBEsol) for a relaxed Sc2NiOs crystal.

extended XYZ file:
```
4
Lattice="-2.543 -1.840 0.542 -0.477 -0.265 -3.138 3.616 -5.033 -0.124" Properties=species:S:1:pos:R:3 pbc="T T T"
Sc 2.706 -3.766 -0.093
Sc 0.910 -1.267 -0.031
Ni -1.510 -1.053 -1.298
Os 0.298 -3.569 -1.360
```

Summary:
mass density: 8.9 g/cm3
E_tot: -8.379 eV per atom